The following is a PBE calculation of UVTe after structural relaxation, from the Alexandria database.

- D(E_F): 2.03 states/eV/atom
- DFT total energy: -0.28579 hartree per atom

Cell lengths 3.353, 3.353, 11.100 Å; angles 90.00, 90.00, 90.00 degrees
Space group I4mm (No. 107)
Unique sites:
U 0.000 0.000 0.000
V 0.000 0.000 0.336
Te 0.000 0.000 0.709


The following is a PBE calculation of UVTe4 after structural relaxation, from the Alexandria database.

- D(E_F): 1.02 states/eV/atom
- DFT total energy: -0.21750 hartree per atom

Cell lengths 6.764, 4.047, 6.980 Å; angles 90.00, 90.40, 90.00 degrees
Space group P2/m (No. 10)
Unique sites:
U 0.000 0.000 0.000
V 0.500 0.500 0.000
Te 0.186 0.500 0.260
Te 0.354 0.000 0.759


The following is a PBE calculation of U2VTe after structural relaxation, from the Alexandria database.

- D(E_F): 3.04 states/eV/atom
- DFT total energy: -0.30240 hartree per atom

Cell lengths 3.0519, 3.0519, 32.9304 Å; angles 90.00, 90.00, 120.00 degrees
Space group R-3m (No. 166, hexagonal axes)
Unique sites:
U 0.0000 0.0000 0.0963
V 0.0000 0.0000 0.5000
Te 0.0000 0.0000 0.0000